Entry 1:
## RbLaAsBr2 (meta-GGA SCAN)

Data for a PBEsol-optimized structure of RbLaAsBr2.

Lattice parameters (Å, degrees): 5.5140 5.8652 5.8652 90.00 90.00 90.00
Element x y z (fractional)
As (0.5000, 0.0000, 0.0000)
Br (0.0000, 0.0000, 0.5000)
Br (0.0000, 0.5000, 0.0000)
Rb (0.5000, 0.5000, 0.5000)
La (0.0000, 0.0000, 0.0000)

Values from the calculation:
* space group: P4/mmm
* crystal system: tetragonal
* energy: -0.9558 Ha/atom

***

Entry 2:
## Cs2KSb2 (meta-GGA SCAN)

Data for a PBEsol-optimized structure of Cs2KSb2.

Lattice parameters (Å, degrees): 6.1329 6.1329 8.0614 112.36 112.36 90.00
Element x y z (fractional)
Cs (0.3726, 0.3726, 0.7451)
Cs (0.6274, 0.6274, 0.2549)
Sb (0.2500, 0.7500, 0.5000)
Sb (0.7500, 0.2500, 0.5000)
K (0.0000, 0.0000, 0.0000)

Values from the calculation:
* space group: I4/mmm
* crystal system: tetragonal
* energy: -1.1617 Ha/atom

***

Entry 3:
## Sr4Be3Ge5 (meta-GGA SCAN)

Data for a PBEsol-optimized structure of Sr4Be3Ge5.

Lattice parameters (Å, degrees): 4.1198 4.1198 18.1792 90.00 90.00 120.00
Element x y z (fractional)
Sr (0.6667, 0.3333, 0.3677)
Sr (0.6667, 0.3333, 0.6323)
Sr (0.6667, 0.3333, 0.8763)
Sr (0.6667, 0.3333, 0.1237)
Be (0.0000, 0.0000, 0.7512)
Be (0.0000, 0.0000, 0.0000)
Be (0.0000, 0.0000, 0.2488)
Ge (0.3333, 0.6667, 0.5000)
Ge (0.3333, 0.6667, 0.7516)
Ge (0.3333, 0.6667, 0.0000)
Ge (0.3333, 0.6667, 0.2484)
Ge (0.0000, 0.0000, 0.5000)

Values from the calculation:
* space group: P-6m2
* formation enthalpy at 0 K: -4.98 eV/f.u.
* crystal system: hexagonal
* energy: -0.6204 Ha/atom

***

It is found that the N(E_F) values, taken in the order of the records, are 4.1; 2.6; 3.5 states/eV per cell.
It is found that the calculated volume values, taken in the order of the records, are 37.94; 51.12; 22.27 A^3/atom.